[1]
Below is a relaxed ZrCoTe crystal, with properties calculated at the PBE level.

Values from the calculation:
* space-group type: R-3m (166)
* theoretical density: 6.6 g/cm³
* energy relative to the elements, uncorrected: -0.4701 eV per atom

Cell lengths 3.900, 3.900, 10.871 Å; angles 79.67, 79.67, 60.00 degrees
Fractional coordinates of all 6 atoms:
1 Co 0.166 0.166 0.503
2 Co 0.834 0.834 0.497
3 Te 0.722 0.722 0.835
4 Te 0.278 0.278 0.165
5 Zr 0.554 0.554 0.338
6 Zr 0.446 0.446 0.662

[2]
Below is a relaxed Th8Co3 crystal, with properties calculated at the PBE level.

Values from the calculation:
* formation energy: -51 meV per atom
* space-group type: R-3 (148)
* theoretical density: 11.2 g/cm³

Cell lengths 6.697, 6.697, 6.697 Å; angles 88.73, 88.73, 88.73 degrees
Fractional coordinates of all 11 atoms:
1 Th 0.322 0.855 0.170
2 Th 0.170 0.322 0.855
3 Th 0.145 0.830 0.678
4 Th 0.678 0.145 0.830
5 Th 0.855 0.170 0.322
6 Th 0.351 0.351 0.351
7 Th 0.830 0.678 0.145
8 Th 0.649 0.649 0.649
9 Co 0.000 0.500 0.500
10 Co 0.500 0.500 0.000
11 Co 0.500 0.000 0.500

[3]
Below is a relaxed ThCo3 crystal, with properties calculated at the PBE level.

Values from the calculation:
* formation energy: -188 meV per atom
* space-group type: C2/m (12)
* theoretical density: 11.3 g/cm³

Cell lengths 4.967, 4.967, 8.921 Å; angles 73.76, 73.76, 60.00 degrees
Last column: magnetic moment on the atom in μB.
Fractional coordinates of all 12 atoms:
1 Co 0.579 0.579 0.760  0.98
2 Co 0.421 0.918 0.239  1.06
3 Co 0.579 0.082 0.761  1.06
4 Co 0.918 0.421 0.239  0.91
5 Co 0.082 0.579 0.761  0.91
6 Co 0.421 0.421 0.240  0.98
7 Co 0.667 0.667 0.998  1.14
8 Co 0.333 0.333 0.002  1.14
9 Co 0.500 0.500 0.500  0.56
10 Th 0.137 0.137 0.588  -0.28
11 Th 0.000 0.000 0.000  -0.21
12 Th 0.863 0.863 0.412  -0.28

[4]
Below is a relaxed Th2Co17 crystal, with properties calculated at the PBE level.

Values from the calculation:
* formation energy: -115 meV per atom
* space-group type: R-3m (166)
* theoretical density: 9.9 g/cm³

Cell lengths 6.308, 6.308, 6.308 Å; angles 83.12, 83.12, 83.12 degrees
Last column: magnetic moment on the atom in μB.
Fractional coordinates of all 19 atoms:
1 Co 0.000 0.715 0.285  1.48
2 Co 0.852 0.345 0.345  1.38
3 Co 0.000 0.285 0.715  1.48
4 Co 0.655 0.148 0.655  1.38
5 Co 0.148 0.655 0.655  1.38
6 Co 0.715 0.285 0.000  1.48
7 Co 0.715 0.000 0.285  1.48
8 Co 0.903 0.903 0.903  1.60
9 Co 0.000 0.000 0.500  1.51
10 Co 0.097 0.097 0.097  1.60
11 Co 0.285 0.715 0.000  1.48
12 Co 0.285 0.000 0.715  1.48
13 Co 0.500 0.000 0.000  1.51
14 Co 0.345 0.852 0.345  1.38
15 Co 0.655 0.655 0.148  1.38
16 Co 0.345 0.345 0.852  1.38
17 Co 0.000 0.500 0.000  1.51
18 Th 0.657 0.657 0.657  -0.36
19 Th 0.343 0.343 0.343  -0.36

[5]
Below is a relaxed Th2Co3 crystal, with properties calculated at the PBE level.

Values from the calculation:
* formation energy: -266 meV per atom
* space-group type: Cmcm (63)
* theoretical density: 11.2 g/cm³

Cell lengths 3.892, 4.027, 12.296 Å; angles 90.00, 99.10, 90.00 degrees
Fractional coordinates of all 10 atoms:
1 Th 0.431 0.250 0.861
2 Th 0.569 0.750 0.139
3 Th 0.700 0.250 0.400
4 Th 0.300 0.750 0.600
5 Co 0.119 0.250 0.238
6 Co 0.976 0.750 0.952
7 Co 0.823 0.250 0.646
8 Co 0.024 0.250 0.048
9 Co 0.177 0.750 0.354
10 Co 0.881 0.750 0.762

[6]
Below is a relaxed ThCo3 crystal, with properties calculated at the PBE level.

Values from the calculation:
* formation energy: -189 meV per atom
* space-group type: P6_3/mmc (194)
* theoretical density: 11.3 g/cm³

Cell lengths 4.963, 4.963, 16.890 Å; angles 90.00, 90.00, 120.00 degrees
Last column: magnetic moment on the atom in μB.
Fractional coordinates of all 24 atoms:
1 Co 0.166 0.834 0.630  0.96
2 Co 0.000 0.000 0.500  0.61
3 Co 0.332 0.166 0.370  0.96
4 Co 0.000 0.000 0.750  1.25
5 Co 0.000 0.000 0.000  0.61
6 Co 0.834 0.668 0.130  0.96
7 Co 0.166 0.332 0.630  0.96
8 Co 0.166 0.332 0.870  0.96
9 Co 0.333 0.667 0.750  1.04
10 Co 0.166 0.834 0.870  0.96
11 Co 0.668 0.834 0.870  0.96
12 Co 0.834 0.668 0.370  0.96
13 Co 0.667 0.333 0.250  1.04
14 Co 0.834 0.166 0.130  0.96
15 Co 0.834 0.166 0.370  0.96
16 Co 0.000 0.000 0.250  1.25
17 Co 0.332 0.166 0.130  0.96
18 Co 0.668 0.834 0.630  0.96
19 Th 0.333 0.667 0.250  -0.21
20 Th 0.667 0.333 0.750  -0.21
21 Th 0.667 0.333 0.544  -0.27
22 Th 0.333 0.667 0.456  -0.27
23 Th 0.667 0.333 0.956  -0.27
24 Th 0.333 0.667 0.044  -0.27

[7]
Below is a relaxed ThCo3 crystal, with properties calculated at the PBE level.

Values from the calculation:
* formation energy: 0 meV per atom
* space-group type: Pm-3m (221)
* theoretical density: 11.3 g/cm³

Cell lengths 3.921, 3.921, 3.921 Å; angles 90.00, 90.00, 90.00 degrees
Last column: magnetic moment on the atom in μB.
Fractional coordinates of all 4 atoms:
1 Co 0.500 0.000 0.500  0.95
2 Co 0.000 0.500 0.500  0.95
3 Co 0.500 0.500 0.000  0.95
4 Th 0.000 0.000 0.000  -0.25

[8]
Below is a relaxed ThCo5 crystal, with properties calculated at the PBE level.

Values from the calculation:
* formation energy: -142 meV per atom
* space-group type: P6/mmm (191)
* theoretical density: 10.3 g/cm³

Cell lengths 4.940, 4.940, 4.014 Å; angles 90.00, 90.00, 120.00 degrees
Last column: magnetic moment on the atom in μB.
Fractional coordinates of all 6 atoms:
1 Co 0.500 0.000 0.500  1.37
2 Co 0.333 0.667 0.000  1.22
3 Co 0.500 0.500 0.500  1.37
4 Co 0.667 0.333 0.000  1.22
5 Co 0.000 0.500 0.500  1.37
6 Th 0.000 0.000 0.000  -0.32

Number 1: total magnetic moment 0.00 Bohr magnetons per cell, Fermi-level density of states 0.7474 states/eV per atom. Number 2: total magnetic moment 0.00 Bohr magnetons per cell, Fermi-level density of states 1.3690 states/eV per atom. Number 3: total magnetic moment 7.48 Bohr magnetons per cell, Fermi-level density of states 1.3739 states/eV per atom. Number 4: total magnetic moment 23.31 Bohr magnetons per cell, Fermi-level density of states 1.1701 states/eV per atom. Number 5: total magnetic moment 0.00 Bohr magnetons per cell, Fermi-level density of states 0.7804 states/eV per atom. Number 6: total magnetic moment 14.85 Bohr magnetons per cell, Fermi-level density of states 1.4225 states/eV per atom. Number 7: total magnetic moment 2.49 Bohr magnetons per cell, Fermi-level density of states 1.3449 states/eV per atom. Number 8: total magnetic moment 5.94 Bohr magnetons per cell, Fermi-level density of states 1.5228 states/eV per atom.